No. 1
NaBe2CrPb: relaxed, PBE.

Its energy is -2.86 eV/atom. The magnetization is 3.997 μB/f.u. The energy of formation comes out at 1.56 eV per atom. The space-group type is P4/mmm. Its density of states at the Fermi level is 2.76 states/eV per cell.

Geometry as CIF:
```
data_NaBe2CrPb
_cell_length_a 4.633
_cell_length_b 4.633
_cell_length_c 4.908
_cell_angle_alpha 90.00
_cell_angle_beta 90.00
_cell_angle_gamma 90.00
_space_group_name_H-M_alt 'P 1'
_space_group_IT_number 1
_space_group_name_Hall 'P 1'
loop_
_atom_site_label
_atom_site_fract_x
_atom_site_fract_y
_atom_site_fract_z
_atom_site_occupancy
Na1 0.000 0.000 0.000 1
Be1 0.000 0.500 0.000 1
Be2 0.500 0.000 0.000 1
Cr1 0.000 0.000 0.500 1
Pb1 0.500 0.500 0.500 1
```


No. 2
NaBeCrPt2: relaxed, PBE.

Its energy is -3.60 eV/atom. The magnetization is 0.236 μB/f.u. The energy of formation comes out at 1.75 eV per atom. The space-group type is P4/mmm. Its density of states at the Fermi level is 6.10 states/eV per cell.

Geometry as CIF:
```
data_NaBeCrPt2
_cell_length_a 4.605
_cell_length_b 4.605
_cell_length_c 3.987
_cell_angle_alpha 90.00
_cell_angle_beta 90.00
_cell_angle_gamma 90.00
_space_group_name_H-M_alt 'P 1'
_space_group_IT_number 1
_space_group_name_Hall 'P 1'
loop_
_atom_site_label
_atom_site_fract_x
_atom_site_fract_y
_atom_site_fract_z
_atom_site_occupancy
Na1 0.000 0.000 0.000 1
Be1 0.000 0.000 0.500 1
Cr1 0.500 0.500 0.500 1
Pt1 0.000 0.500 0.000 1
Pt2 0.500 0.000 0.000 1
```


No. 3
NaBeCrSe3: relaxed, PBE.

Its energy is -4.86 eV/atom. The formation energy without anion corrections is -4.03 eV per formula unit. The magnetization is 1.006 μB/f.u. The space-group type is P2_1/m. Its density of states at the Fermi level is 1.89 states/eV per cell.

Geometry as CIF:
```
data_NaBeCrSe3
_cell_length_a 8.283
_cell_length_b 3.597
_cell_length_c 8.700
_cell_angle_alpha 90.00
_cell_angle_beta 111.44
_cell_angle_gamma 90.00
_space_group_name_H-M_alt 'P 1'
_space_group_IT_number 1
_space_group_name_Hall 'P 1'
loop_
_atom_site_label
_atom_site_fract_x
_atom_site_fract_y
_atom_site_fract_z
_atom_site_occupancy
Na1 0.175 0.250 0.226 1
Na2 0.825 0.750 0.774 1
Be1 0.085 0.250 0.600 1
Be2 0.915 0.750 0.400 1
Cr1 0.376 0.750 0.886 1
Cr2 0.624 0.250 0.114 1
Se1 0.148 0.250 0.866 1
Se2 0.211 0.750 0.536 1
Se3 0.453 0.750 0.174 1
Se4 0.547 0.250 0.826 1
Se5 0.789 0.250 0.464 1
Se6 0.852 0.750 0.134 1
```